VASP calculation (GGA-PBE) on Y4Al12Cu after structural relaxation.

The crystal system is cubic. The value obtained for the total energy is -4.84 eV per atom. For the energy relative to the elements, the calculation gives -433 meV/atom. As for the space group: Im-3m, No. 229.

abc: 7.4865 7.4865 7.4865
angles: 109.47 109.47 109.47
With the nearest neighbours (Å) after each atom.
Positions (direct):
Y 0.0000 0.0000 0.5000  12 Al 3.06-3.08
Y 0.0000 0.5000 0.0000  12 Al 3.06-3.08
Y 0.5000 0.0000 0.0000  12 Al 3.06-3.08
Y 0.5000 0.5000 0.5000  12 Al 3.06-3.08
Al 0.0000 0.2920 0.2920  1 Cu 2.52, 4 Al 2.81
Al 0.0000 0.7080 0.7080  1 Cu 2.52, 4 Al 2.81
Al 0.2500 0.5000 0.7500  8 Al 2.81-3.06, 4 Y 3.06
Al 0.2500 0.7500 0.5000  8 Al 2.81-3.06, 4 Y 3.06
Al 0.2920 0.0000 0.2920  1 Cu 2.52, 4 Al 2.81
Al 0.2920 0.2920 0.0000  1 Cu 2.52, 4 Al 2.81
Al 0.5000 0.2500 0.7500  8 Al 2.81-3.06, 4 Y 3.06
Al 0.5000 0.7500 0.2500  8 Al 2.81-3.06, 4 Y 3.06
Al 0.7080 0.0000 0.7080  1 Cu 2.52, 4 Al 2.81
Al 0.7080 0.7080 0.0000  1 Cu 2.52, 4 Al 2.81
Al 0.7500 0.2500 0.5000  8 Al 2.81-3.06, 4 Y 3.06
Al 0.7500 0.5000 0.2500  8 Al 2.81-3.06, 4 Y 3.06
Cu 0.0000 0.0000 0.0000  6 Al 2.52

***

VASP calculation (GGA-PBE) on CdSiNi after structural relaxation.

The crystal system is orthorhombic. Its formation energy without anion corrections is -0.019 eV per atom. The value obtained for the total energy is -4.06 eV per atom. As for the space group: Imm2, No. 44.

abc: 5.7583 5.7583 5.7583
angles: 151.42 149.24 42.48
With the nearest neighbours (Å) after each atom.
Positions (direct):
Cd 0.0000 0.0000 0.0000  4 Cd 2.84-3.05, 4 Ni 2.87, 5 Si 3.07-3.10
Si 0.7138 0.7138 0.0000  4 Ni 2.36
Ni 0.3161 0.3161 0.0000  4 Si 2.36